# 1
VASP calculation (PBE-GGA) on a relaxed structure of CaYSn2.

Lattice parameters (Å, degrees): 3.4886 3.4886 8.9852 90.00 90.00 90.00
Element x y z (fractional)
Ca (0.0000, 0.0000, 0.0000)
Y (0.0000, 0.0000, 0.5000)
Sn (0.5000, 0.5000, 0.2556)
Sn (0.5000, 0.5000, 0.7444)

Summary:
The calculation puts the density of states at the Fermi level at 2.4 states/eV/cell. For the formation energy, the calculation gives -0.643 eV per atom.



# 2
VASP calculation (PBE-GGA) on a relaxed structure of Ca2YSn.

Lattice parameters (Å, degrees): 4.8564 4.8564 5.1384 90.00 90.00 90.00
Element x y z (fractional)
Ca (0.0000, 0.5000, 0.0000)
Ca (0.5000, 0.0000, 0.0000)
Y (0.0000, 0.0000, 0.5000)
Sn (0.5000, 0.5000, 0.5000)

Summary:
The calculation puts the density of states at the Fermi level at 2.9 states/eV/cell. For the formation energy, the calculation gives -0.386 eV per atom.



# 3
VASP calculation (PBE-GGA) on a relaxed structure of Ca2ZnSn2.

Lattice parameters (Å, degrees): 8.1276 8.1276 8.1276 134.73 67.44 132.83
Element x y z (fractional)
Ca (0.1642, 0.2166, 0.3808)
Ca (0.3358, 0.7166, 0.0524)
Ca (0.6642, 0.2834, 0.9476)
Ca (0.8358, 0.7834, 0.6192)
Zn (0.2500, 0.2500, 0.0000)
Zn (0.7500, 0.7500, 0.0000)
Sn (0.0897, 0.6964, 0.7861)
Sn (0.4103, 0.1964, 0.6067)
Sn (0.5897, 0.8036, 0.3933)
Sn (0.9103, 0.3036, 0.2139)

Summary:
The calculation puts the density of states at the Fermi level at 3.2 states/eV/cell. Its energy above the lowest structure with this stoichiometry is 0.119 eV per atom. For the formation energy, the calculation gives -0.424 eV per atom.



# 4
VASP calculation (PBE-GGA) on a relaxed structure of CaZnSn3.

Lattice parameters (Å, degrees): 5.3010 5.3010 5.3010 90.00 90.00 90.00
Element x y z (fractional)
Ca (0.0000, 0.0000, 0.0000)
Zn (0.5000, 0.5000, 0.5000)
Sn (0.0000, 0.5000, 0.5000)
Sn (0.5000, 0.0000, 0.5000)
Sn (0.5000, 0.5000, 0.0000)

Summary:
The calculation puts the density of states at the Fermi level at 3.2 states/eV/cell. For the formation energy, the calculation gives 0.041 eV per atom.



# 5
VASP calculation (PBE-GGA) on a relaxed structure of Ca7Zn2Sn2.

Lattice parameters (Å, degrees): 7.0684 7.0684 7.7904 90.00 90.00 109.61
Element x y z (fractional)
Ca (0.0000, 0.0000, 0.0000)
Ca (0.0000, 0.5000, 0.2736)
Ca (0.0000, 0.5000, 0.7264)
Ca (0.5000, 0.0000, 0.2736)
Ca (0.5000, 0.0000, 0.7264)
Ca (0.5000, 0.5000, 0.2416)
Ca (0.5000, 0.5000, 0.7584)
Zn (0.2867, 0.7133, 0.0000)
Zn (0.7133, 0.2867, 0.0000)
Sn (0.1820, 0.1820, 0.5000)
Sn (0.8180, 0.8180, 0.5000)

Summary:
The calculation puts the density of states at the Fermi level at 12.6 states/eV/cell. For the formation energy, the calculation gives -0.203 eV per atom.



# 6
VASP calculation (PBE-GGA) on a relaxed structure of CaZnSn.

Lattice parameters (Å, degrees): 8.0912 8.0912 3.4861 90.00 90.00 139.23
Element x y z (fractional)
Ca (0.1590, 0.8410, 0.0000)
Ca (0.8410, 0.1590, 0.0000)
Zn (0.2262, 0.2262, 0.5000)
Zn (0.7738, 0.7738, 0.5000)
Sn (0.3500, 0.6500, 0.5000)
Sn (0.6500, 0.3500, 0.5000)

Summary:
The calculation puts the density of states at the Fermi level at 1.8 states/eV/cell. For the formation energy, the calculation gives -0.397 eV per atom.



# 7
VASP calculation (PBE-GGA) on a relaxed structure of Ca3ZnSn.

Lattice parameters (Å, degrees): 8.2356 8.2254 10.3429 90.00 121.70 90.00
Element x y z (fractional)
Ca (0.0890, 0.0803, 0.2684)
Ca (0.0890, 0.4197, 0.7684)
Ca (0.3401, 0.0693, 0.6883)
Ca (0.3401, 0.4307, 0.1883)
Ca (0.3949, 0.7383, 0.4477)
Ca (0.3949, 0.7617, 0.9477)
Ca (0.6051, 0.2383, 0.0523)
Ca (0.6051, 0.2617, 0.5523)
Ca (0.6599, 0.5693, 0.8117)
Ca (0.6599, 0.9307, 0.3117)
Ca (0.9110, 0.5803, 0.2316)
Ca (0.9110, 0.9197, 0.7316)
Zn (0.2534, 0.0795, 0.0376)
Zn (0.2534, 0.4205, 0.5376)
Zn (0.7466, 0.5795, 0.4624)
Zn (0.7466, 0.9205, 0.9624)
Sn (0.1103, 0.7417, 0.5667)
Sn (0.1103, 0.7583, 0.0667)
Sn (0.8897, 0.2417, 0.9333)
Sn (0.8897, 0.2583, 0.4333)

Summary:
The calculation puts the density of states at the Fermi level at 10.8 states/eV/cell. Its energy above the lowest structure with this stoichiometry is 0.000 eV per atom. For the formation energy, the calculation gives -0.346 eV per atom.



# 8
VASP calculation (PBE-GGA) on a relaxed structure of CaZnSn.

Lattice parameters (Å, degrees): 4.6912 4.6912 7.5711 90.00 90.00 120.00
Element x y z (fractional)
Ca (0.0000, 0.0000, 0.0000)
Ca (0.0000, 0.0000, 0.5000)
Zn (0.3333, 0.6667, 0.3104)
Zn (0.6667, 0.3333, 0.8104)
Sn (0.3333, 0.6667, 0.7205)
Sn (0.6667, 0.3333, 0.2205)

Summary:
The calculation puts the density of states at the Fermi level at 0.7 states/eV/cell. For the formation energy, the calculation gives -0.516 eV per atom.